No. 1
Computed, not measured: SmDy2N3 after structural relaxation at the GGA-PBE level of DFT.

Output
Density (g/cm³): 9.5
Space group: P-3m1, No. 164
Final energy (eV/atom): -8.106

a b c (Å): 3.495 3.495 8.557
angles (deg): 90.00 90.00 120.00
Sites, in units of the cell vectors:
Sm (0.000, 0.000, 0.000)
Dy (0.333, 0.667, 0.336)
Dy (0.667, 0.333, 0.664)
N (0.000, 0.000, 0.500)
N (0.333, 0.667, 0.827)
N (0.667, 0.333, 0.173)



No. 2
Computed, not measured: Sm2DyN3 after structural relaxation at the GGA-PBE level of DFT.

Output
Density (g/cm³): 9.0
Space group: P-3m1, No. 164
Final energy (eV/atom): -8.050

a b c (Å): 3.530 3.530 8.643
angles (deg): 90.00 90.00 120.00
Sites, in units of the cell vectors:
Sm (0.333, 0.667, 0.330)
Sm (0.667, 0.333, 0.670)
Dy (0.000, 0.000, 0.000)
N (0.000, 0.000, 0.500)
N (0.333, 0.667, 0.840)
N (0.667, 0.333, 0.160)



No. 3
Computed, not measured: DyTa2N4 after structural relaxation at the GGA-PBE level of DFT.

Output
Density (g/cm³): 11.8
Space group: Cmcm, No. 63
Final energy (eV/atom): -10.146

a b c (Å): 5.321 5.321 10.335
angles (deg): 90.00 90.00 145.94
Sites, in units of the cell vectors:
Dy (0.117, 0.883, 0.750)
Dy (0.883, 0.117, 0.250)
Ta (0.371, 0.629, 0.568)
Ta (0.371, 0.629, 0.932)
Ta (0.629, 0.371, 0.068)
Ta (0.629, 0.371, 0.432)
N (0.000, 0.000, 0.000)
N (0.000, 0.000, 0.500)
N (0.268, 0.732, 0.113)
N (0.268, 0.732, 0.387)
N (0.444, 0.556, 0.750)
N (0.556, 0.444, 0.250)
N (0.732, 0.268, 0.613)
N (0.732, 0.268, 0.887)



No. 4
Computed, not measured: TbDy2N3 after structural relaxation at the GGA-PBE level of DFT.

Output
Density (g/cm³): 9.9
Space group: P-3m1, No. 164
Final energy (eV/atom): -8.159

a b c (Å): 3.465 3.465 8.493
angles (deg): 90.00 90.00 120.00
Sites, in units of the cell vectors:
Tb (0.000, 0.000, 0.000)
Dy (0.333, 0.667, 0.333)
Dy (0.667, 0.333, 0.667)
N (0.000, 0.000, 0.500)
N (0.333, 0.667, 0.833)
N (0.667, 0.333, 0.167)



No. 5
Computed, not measured: DyTcN2 after structural relaxation at the GGA-PBE level of DFT.

Output
Density (g/cm³): 10.2
Space group: Pnma, No. 62
Final energy (eV/atom): -8.802

a b c (Å): 5.630 3.129 10.708
angles (deg): 90.00 90.00 90.00
Sites, in units of the cell vectors:
Dy (0.076, 0.250, 0.148)
Dy (0.424, 0.750, 0.648)
Dy (0.576, 0.250, 0.352)
Dy (0.924, 0.750, 0.852)
Tc (0.062, 0.750, 0.403)
Tc (0.438, 0.250, 0.903)
Tc (0.562, 0.750, 0.097)
Tc (0.938, 0.250, 0.597)
N (0.172, 0.250, 0.754)
N (0.250, 0.250, 0.497)
N (0.250, 0.750, 0.997)
N (0.328, 0.750, 0.254)
N (0.672, 0.250, 0.746)
N (0.750, 0.250, 0.003)
N (0.750, 0.750, 0.503)
N (0.828, 0.750, 0.246)



No. 6
Computed, not measured: Dy3Te3N after structural relaxation at the GGA-PBE level of DFT.

Output
Density (g/cm³): 7.4
Space group: P2_1/c, No. 14
Final energy (eV/atom): -6.016

a b c (Å): 8.101 11.983 8.644
angles (deg): 90.00 109.14 90.00
Sites, in units of the cell vectors:
Dy (0.102, 0.021, 0.362)
Dy (0.102, 0.479, 0.862)
Dy (0.268, 0.709, 0.158)
Dy (0.268, 0.791, 0.658)
Dy (0.341, 0.088, 0.795)
Dy (0.341, 0.412, 0.295)
Dy (0.659, 0.588, 0.705)
Dy (0.659, 0.912, 0.205)
Dy (0.732, 0.209, 0.342)
Dy (0.732, 0.291, 0.842)
Dy (0.898, 0.521, 0.138)
Dy (0.898, 0.979, 0.638)
Te (0.009, 0.235, 0.685)
Te (0.009, 0.265, 0.185)
Te (0.275, 0.521, 0.584)
Te (0.275, 0.979, 0.084)
Te (0.453, 0.190, 0.515)
Te (0.453, 0.310, 0.015)
Te (0.547, 0.690, 0.985)
Te (0.547, 0.810, 0.485)
Te (0.725, 0.021, 0.916)
Te (0.725, 0.479, 0.416)
Te (0.991, 0.735, 0.815)
Te (0.991, 0.765, 0.315)
N (0.173, 0.534, 0.124)
N (0.173, 0.966, 0.624)
N (0.827, 0.034, 0.376)
N (0.827, 0.466, 0.876)